# 1
PBE Ba6Ag2BrN, optimized geometry; final energy = -3.252 eV per atom; formation energy from raw total energies = -5.287 eV per formula unit; calculated density = 4.7 g/cm3; V = 39.7 Å³ per atom; magnetic moment = 0.00 μB per cell
1.0
-2.356 6.024 4.516
-8.267 -2.620 -0.818
1.088 -6.413 9.545
Ba Ag Br N
12 4 2 2
Cartesian
-6.134 -0.336 1.321 Ba
-8.163 -0.972 8.213 Ba
-3.401 -2.673 11.923 Ba
-1.373 -2.037 5.030 Ba
-6.258 -2.624 5.169 Ba
-7.442 -2.993 12.145 Ba
-3.277 -0.385 8.075 Ba
-2.093 -0.016 1.099 Ba
-6.251 2.447 5.690 Ba
-8.080 -4.897 7.853 Ba
-3.284 -5.456 7.553 Ba
-1.455 1.889 5.390 Ba
-7.303 -3.722 1.844 Ag
-5.386 -3.108 9.127 Ag
-2.232 0.713 11.399 Ag
-4.149 0.099 4.116 Ag
-1.178 3.012 2.258 Br
-3.590 -4.517 4.364 Br
-0.634 -0.194 7.031 N
-4.134 -1.310 -0.409 N

***

# 2
PBE BaAgBrN2, optimized geometry; final energy = -3.907 eV per atom; formation energy from raw total energies = 3.565 eV per formula unit; calculated density = 5.3 g/cm3; V = 22.0 Å³ per atom; magnetic moment = 2.74 μB per cell
1.0
-0.661 -4.352 0.680
3.503 -1.176 -4.122
3.385 -0.062 2.894
Br Ba Ag N
1 1 1 2
Cartesian
1.751 -0.588 -2.061 Br
3.114 -2.795 -0.274 Ba
0.000 0.000 0.000 Ag
1.693 -0.031 1.447 N
-0.330 -2.176 0.340 N

***

# 3
PBE BaNaAgBr, optimized geometry; final energy = -2.631 eV per atom; formation energy from raw total energies = -2.758 eV per formula unit; calculated density = 4.4 g/cm3; V = 32.6 Å³ per atom; magnetic moment = 0.70 μB per cell
1.0
5.690 0.000 0.000
2.845 4.928 0.000
2.845 1.643 4.646
Na Br Ba Ag
1 1 1 1
Cartesian
0.000 0.000 0.000 Na
8.536 4.928 3.485 Br
5.690 3.285 2.323 Ba
2.845 1.643 1.162 Ag